1.
RbGePd2 | PBE | optimized geometry

Lattice parameters (Å, degrees): 6.7265 6.7265 6.7265 38.09 38.09 38.09
Closest atoms and distances in Å follow each position.
Element x y z (fractional)
Rb: 0.0000 0.0000 0.0000  8 Pd 3.56-3.68
Ge: 0.5000 0.5000 0.5000  6 Pd 2.57
Pd: 0.1904 0.1904 0.1904  3 Ge 2.57, 3 Pd 2.69
Pd: 0.8096 0.8096 0.8096  3 Ge 2.57, 3 Pd 2.69

Properties
Formation enthalpy at 0 K in kcal/mol of atoms: -7.63
Space group: R-3m, No. 166

2.
LaDy4Er7 | PBE | optimized geometry

Lattice parameters (Å, degrees): 6.1821 7.1434 8.7892 90.00 76.42 89.96
Closest atoms and distances in Å follow each position.
Element x y z (fractional)
La: 0.0000 0.0000 0.0000  10 Er 3.54-3.58, 2 Dy 3.54
Dy: 0.2215 0.4999 0.3344  4 Dy 3.49-3.57, 8 Er 3.49-3.57
Dy: 0.2789 0.7488 0.6637  8 Er 3.48-3.59, 3 Dy 3.49-3.57, 1 La 3.54
Dy: 0.7211 0.2512 0.3363  8 Er 3.48-3.59, 3 Dy 3.49-3.57, 1 La 3.54
Dy: 0.7785 0.5001 0.6656  4 Dy 3.49-3.57, 8 Er 3.49-3.57
Er: 0.0000 0.5000 0.0000  4 Dy 3.52-3.53, 6 Er 3.53-3.57, 2 La 3.57
Er: 0.2227 0.0000 0.3358  5 Dy 3.48-3.58, 6 Er 3.48-3.58, 1 La 3.54
Er: 0.2786 0.2513 0.6642  6 Dy 3.48-3.59, 5 Er 3.48-3.58, 1 La 3.54
Er: 0.4996 0.2514 0.9999  3 Dy 3.52-3.54, 7 Er 3.53-3.59, 2 La 3.57-3.58
Er: 0.5004 0.7486 0.0001  3 Dy 3.52-3.54, 7 Er 3.53-3.59, 2 La 3.57-3.58
Er: 0.7214 0.7487 0.3358  6 Dy 3.48-3.59, 5 Er 3.48-3.58, 1 La 3.54
Er: 0.7773 0.0000 0.6642  5 Dy 3.48-3.58, 6 Er 3.48-3.58, 1 La 3.54

Properties
Formation enthalpy at 0 K in kcal/mol of atoms: 0.08
Space group: P-1, No. 2